Entry 1:
VASP calculation (GGA-PBE) on a relaxed DyY2Pt crystal.

Properties
The calculation puts the energy of formation from the pure elements at -671 meV/atom.

abc: 3.7664 6.3882 9.5770
angles: 90.00 90.00 107.16
Closest atoms and distances in Å follow each position.
Element x y z (fractional)
Pt  0.2564  0.5130  0.7500  4 Y 2.90, 2 Dy 2.91
Pt  0.7436  0.4870  0.2500  4 Y 2.90, 2 Dy 2.91
Dy  0.4252  0.8504  0.2500  2 Pt 2.91
Dy  0.5748  0.1496  0.7500  2 Pt 2.91
Y  0.8637  0.7281  0.9345  2 Pt 2.90
Y  0.8637  0.7281  0.5655  2 Pt 2.90
Y  0.1363  0.2719  0.4345  2 Pt 2.90
Y  0.1363  0.2719  0.0655  2 Pt 2.90

Entry 2:
VASP calculation (GGA-PBE) on a relaxed Dy4YPt2 crystal.

Properties
The calculation puts the energy of formation from the pure elements at -700 meV/atom.

abc: 6.3761 7.7835 8.0672
angles: 112.59 90.00 90.00
Closest atoms and distances in Å follow each position.
Element x y z (fractional)
Pt  0.7500  0.3770  0.4143  2 Dy 2.73-2.81, 1 Y 2.95
Pt  0.7500  0.7526  0.0081  6 Dy 2.85-3.05, 1 Y 3.06
Pt  0.2500  0.2474  0.9919  6 Dy 2.85-3.05, 1 Y 3.06
Pt  0.2500  0.6230  0.5857  2 Dy 2.73-2.81, 1 Y 2.95
Dy  0.7500  0.7504  0.6541  2 Pt 2.81-2.85
Dy  0.2500  0.9836  0.6140  2 Pt 2.73-2.95
Dy  0.0052  0.5901  0.2315  4 Pt 3.04-3.18, 2 Dy 3.12-3.25
Dy  0.2500  0.2496  0.3459  2 Pt 2.81-2.85
Dy  0.5052  0.4099  0.7685  4 Pt 3.04-3.18, 2 Dy 3.12-3.25
Dy  0.4948  0.5901  0.2315  4 Pt 3.04-3.18, 2 Dy 3.12-3.25
Dy  0.9948  0.4099  0.7685  4 Pt 3.04-3.18, 2 Dy 3.12-3.25
Dy  0.7500  0.0164  0.3860  2 Pt 2.73-2.95
Y  0.7500  0.1523  0.0247  2 Pt 2.95-3.06
Y  0.2500  0.8477  0.9753  2 Pt 2.95-3.06

Entry 3:
VASP calculation (GGA-PBE) on a relaxed Dy3Y2Pt2 crystal.

Properties
The calculation puts the energy of formation from the pure elements at -794 meV/atom.

abc: 3.7805 6.4092 9.0314
angles: 115.15 90.00 107.15
Closest atoms and distances in Å follow each position.
Element x y z (fractional)
Pt  0.1727  0.3454  0.2384  5 Dy 2.89-2.94, 2 Y 2.94
Pt  0.8273  0.6546  0.7616  5 Dy 2.89-2.94, 2 Y 2.94
Dy  0.6151  0.2302  0.4356  3 Pt 2.89-2.94
Dy  0.5000  0.0000  0.0000  4 Pt 2.94
Dy  0.3849  0.7698  0.5644  3 Pt 2.89-2.94
Y  0.8374  0.6748  0.1888  2 Pt 2.94
Y  0.1626  0.3252  0.8112  2 Pt 2.94

Entry 4:
VASP calculation (GGA-PBE) on a relaxed DyY2Pt crystal.

Properties
The calculation puts the energy of formation from the pure elements at -467 meV/atom.

abc: 3.7851 3.7851 9.7929
angles: 78.86 78.86 60.00
Closest atoms and distances in Å follow each position.
Element x y z (fractional)
Dy  0.5000  0.5000  0.5000  6 Y 3.69, 6 Dy 3.79
Pt  0.0000  0.0000  0.0000  6 Y 2.83
Y  0.2706  0.2706  0.1883  3 Pt 2.83
Y  0.7294  0.7294  0.8117  3 Pt 2.83

Entry 5:
VASP calculation (GGA-PBE) on a relaxed DyY3Pt8 crystal.

Properties
The calculation puts the energy of formation from the pure elements at -1063 meV/atom.

abc: 5.4577 5.4577 8.8834
angles: 90.00 90.00 120.00
Closest atoms and distances in Å follow each position.
Element x y z (fractional)
Y  0.0000  0.0000  0.9345  12 Pt 3.18-3.21, 1 Dy 3.29, 3 Y 3.36
Y  0.6667  0.3333  0.4355  12 Pt 3.19-3.20, 1 Y 3.29, 3 Dy 3.35
Y  0.6667  0.3333  0.0650  12 Pt 3.19-3.20, 4 Y 3.29-3.36
Pt  0.1642  0.8358  0.2503  6 Pt 2.69-2.77
Pt  0.1642  0.3284  0.2503  6 Pt 2.69-2.77
Pt  0.5024  0.4976  0.7498  6 Pt 2.69-2.77
Pt  0.3333  0.6667  0.5001  6 Pt 2.73-2.74
Pt  0.5024  0.0048  0.7498  6 Pt 2.69-2.77
Pt  0.3333  0.6667  0.0002  6 Pt 2.74
Pt  0.6716  0.8358  0.2503  6 Pt 2.69-2.77
Pt  0.9952  0.4976  0.7498  6 Pt 2.69-2.77
Dy  0.0000  0.0000  0.5645  12 Pt 3.19-3.20, 4 Y 3.29-3.35

Entry 6:
VASP calculation (GGA-PBE) on a relaxed DyY3Pt12 crystal.

Properties
The calculation puts the energy of formation from the pure elements at -1006 meV/atom.

abc: 4.1321 4.1321 16.4544
angles: 90.00 90.00 90.00
Closest atoms and distances in Å follow each position.
Element x y z (fractional)
Pt  0.5000  0.5000  0.5000  8 Pt 2.92, 4 Y 2.92
Pt  0.5000  0.5000  0.2497  8 Pt 2.92, 4 Y 2.92
Pt  0.0000  0.5000  0.1245  2 Dy 2.91, 8 Pt 2.91-2.92, 2 Y 2.92
Pt  0.0000  0.5000  0.3749  8 Pt 2.92, 4 Y 2.92
Pt  0.5000  0.5000  0.7503  8 Pt 2.92, 4 Y 2.92
Pt  0.5000  0.0000  0.8755  2 Dy 2.91, 8 Pt 2.91-2.92, 2 Y 2.92
Pt  0.0000  0.5000  0.8755  2 Dy 2.91, 8 Pt 2.91-2.92, 2 Y 2.92
Pt  0.0000  0.5000  0.6251  8 Pt 2.92, 4 Y 2.92
Pt  0.5000  0.0000  0.6251  8 Pt 2.92, 4 Y 2.92
Pt  0.5000  0.0000  0.1245  2 Dy 2.91, 8 Pt 2.91-2.92, 2 Y 2.92
Pt  0.5000  0.0000  0.3749  8 Pt 2.92, 4 Y 2.92
Pt  0.5000  0.5000  0.0000  8 Pt 2.91, 4 Dy 2.92
Y  0.0000  0.0000  0.5000  12 Pt 2.92
Y  0.0000  0.0000  0.7503  12 Pt 2.92
Y  0.0000  0.0000  0.2497  12 Pt 2.92
Dy  0.0000  0.0000  0.0000  12 Pt 2.91-2.92

Entry 7:
VASP calculation (GGA-PBE) on a relaxed Dy2YPt crystal.

Properties
The calculation puts the energy of formation from the pure elements at -524 meV/atom.

abc: 3.9190 3.9190 9.3021
angles: 77.84 77.84 60.00
Closest atoms and distances in Å follow each position.
Element x y z (fractional)
Y  0.5016  0.5016  0.4953  6 Dy 3.61-3.69, 6 Y 3.92
Dy  0.2721  0.2721  0.1838  3 Pt 2.79
Dy  0.0606  0.0606  0.8182  3 Pt 2.81
Pt  0.6658  0.6658  0.0026  6 Dy 2.79-2.81

Entry 8:
VASP calculation (GGA-PBE) on a relaxed DyY3Pt2 crystal.

Properties
The calculation puts the energy of formation from the pure elements at -836 meV/atom.

abc: 6.9071 7.1191 8.4572
angles: 114.89 114.10 90.00
Closest atoms and distances in Å follow each position.
Element x y z (fractional)
Y  0.7635  0.0135  0.5269  4 Pt 2.86-2.98
Y  0.2365  0.4865  0.4731  4 Pt 2.86-2.98
Y  0.2365  0.9865  0.4731  4 Pt 2.86-2.98
Y  0.7635  0.5135  0.5269  4 Pt 2.86-2.98
Y  0.5000  0.2500  0.0000  4 Pt 2.99
Y  0.5000  0.7500  0.0000  4 Pt 2.99
Pt  0.8517  0.1395  0.2789  1 Dy 2.76, 6 Y 2.86-2.99
Pt  0.1483  0.8605  0.7211  1 Dy 2.76, 6 Y 2.86-2.99
Pt  0.5727  0.3605  0.7211  1 Dy 2.76, 6 Y 2.86-2.99
Pt  0.4273  0.6395  0.2789  1 Dy 2.76, 6 Y 2.86-2.99
Dy  0.0000  0.5000  0.0000  2 Pt 2.76
Dy  0.0000  0.0000  0.0000  2 Pt 2.76

Entry 9:
VASP calculation (GGA-PBE) on a relaxed Dy2Y3Pt2 crystal.

Properties
The calculation puts the energy of formation from the pure elements at -782 meV/atom.

abc: 3.7521 6.4359 9.0771
angles: 114.74 90.00 106.95
Closest atoms and distances in Å follow each position.
Element x y z (fractional)
Pt  0.1763  0.3527  0.2373  2 Dy 2.88, 5 Y 2.91-2.97
Pt  0.8237  0.6473  0.7627  2 Dy 2.88, 5 Y 2.91-2.97
Dy  0.1657  0.3314  0.8131  2 Pt 2.88
Dy  0.8343  0.6686  0.1869  2 Pt 2.88
Y  0.6143  0.2285  0.4337  3 Pt 2.91-2.97
Y  0.3857  0.7715  0.5663  3 Pt 2.91-2.97
Y  0.5000  0.0000  0.0000  4 Pt 2.96

Entry 10:
VASP calculation (GGA-PBE) on a relaxed Dy3YPt12 crystal.

Properties
The calculation puts the energy of formation from the pure elements at -1026 meV/atom.

abc: 4.1279 4.1279 16.4388
angles: 90.00 90.00 90.00
Closest atoms and distances in Å follow each position.
Element x y z (fractional)
Pt  0.5000  0.0000  0.6249  8 Pt 2.91-2.92, 4 Dy 2.91
Pt  0.5000  0.5000  0.5000  8 Pt 2.91, 4 Dy 2.92
Pt  0.5000  0.5000  0.2503  8 Pt 2.91, 4 Dy 2.92
Pt  0.5000  0.0000  0.8745  2 Dy 2.91, 8 Pt 2.91-2.92, 2 Y 2.92
Pt  0.5000  0.5000  0.0000  8 Pt 2.92, 4 Y 2.92
Pt  0.0000  0.5000  0.8745  2 Dy 2.91, 8 Pt 2.91-2.92, 2 Y 2.92
Pt  0.5000  0.5000  0.7497  8 Pt 2.91, 4 Dy 2.92
Pt  0.0000  0.5000  0.1255  2 Dy 2.91, 8 Pt 2.91-2.92, 2 Y 2.92
Pt  0.5000  0.0000  0.1255  2 Dy 2.91, 8 Pt 2.91-2.92, 2 Y 2.92
Pt  0.0000  0.5000  0.3751  8 Pt 2.91-2.92, 4 Dy 2.91
Pt  0.0000  0.5000  0.6249  8 Pt 2.91-2.92, 4 Dy 2.91
Pt  0.5000  0.0000  0.3751  8 Pt 2.91-2.92, 4 Dy 2.91
Dy  0.0000  0.0000  0.5000  12 Pt 2.91-2.92
Dy  0.0000  0.0000  0.2503  12 Pt 2.91-2.92
Dy  0.0000  0.0000  0.7497  12 Pt 2.91-2.92
Y  0.0000  0.0000  0.0000  12 Pt 2.92